# Ta4Mn5V

A geometry-optimized Ta4Mn5V structure (PBE, Alexandria via LeMat-Bulk).

Cell lengths 3.030, 3.030, 15.134 Å; angles 90.00, 90.00, 90.00 degrees
Fractional coordinates of all 10 atoms:
Ta: 0.000 0.000 0.195
Ta: 0.000 0.000 0.398
Ta: 0.000 0.000 0.602
Ta: 0.000 0.000 0.805
Mn: 0.500 0.500 0.093
Mn: 0.500 0.500 0.297
Mn: 0.500 0.500 0.500
Mn: 0.500 0.500 0.703
Mn: 0.500 0.500 0.907
V: 0.000 0.000 0.000

Calculated values
Space group: No. 123
Formation energy from the elements (eV per atom): -0.2285

# Zr7Tl2Ga2

A geometry-optimized Zr7Tl2Ga2 structure (PBE, Alexandria via LeMat-Bulk).

Cell lengths 6.425, 6.632, 6.424 Å; angles 89.98, 104.03, 90.02 degrees
Fractional coordinates of all 11 atoms:
Zr: 0.000 0.266 0.500
Zr: 0.500 0.734 0.000
Zr: 0.000 0.734 0.500
Zr: 0.500 0.266 0.000
Zr: 0.000 0.000 0.000
Zr: 0.500 0.747 0.500
Zr: 0.500 0.253 0.500
Tl: 0.821 0.500 0.821
Tl: 0.179 0.500 0.179
Ga: 0.721 0.000 0.279
Ga: 0.279 0.000 0.721

Calculated values
Space group: No. 65
Formation energy from the elements (eV per atom): 0.1199

# P4SeO6

A geometry-optimized P4SeO6 structure (PBE, Alexandria via LeMat-Bulk).

Cell lengths 6.780, 11.188, 12.529 Å; angles 70.47, 90.00, 90.00 degrees
Fractional coordinates of all 44 atoms:
P: 0.482 0.670 0.208
P: 0.982 0.330 0.292
P: 0.518 0.330 0.792
P: 0.018 0.670 0.708
P: 0.250 0.581 0.048
P: 0.750 0.419 0.452
P: 0.750 0.419 0.952
P: 0.250 0.581 0.548
P: 0.153 0.827 0.077
P: 0.653 0.173 0.423
P: 0.847 0.173 0.923
P: 0.347 0.827 0.577
P: 0.518 0.797 0.963
P: 0.018 0.203 0.537
P: 0.482 0.203 0.037
P: 0.982 0.797 0.463
Se: 0.710 0.889 0.835
Se: 0.210 0.111 0.665
Se: 0.290 0.111 0.165
Se: 0.790 0.889 0.335
O: 0.097 0.693 0.054
O: 0.597 0.307 0.446
O: 0.903 0.307 0.946
O: 0.403 0.693 0.554
O: 0.296 0.769 0.191
O: 0.796 0.231 0.309
O: 0.704 0.231 0.809
O: 0.204 0.769 0.691
O: 0.379 0.557 0.166
O: 0.879 0.443 0.334
O: 0.621 0.443 0.834
O: 0.121 0.557 0.666
O: 0.416 0.670 0.953
O: 0.916 0.330 0.547
O: 0.584 0.330 0.047
O: 0.084 0.670 0.453
O: 0.612 0.747 0.090
O: 0.112 0.253 0.410
O: 0.388 0.253 0.910
O: 0.888 0.747 0.590
O: 0.169 0.880 0.478
O: 0.669 0.120 0.022
O: 0.831 0.120 0.522
O: 0.331 0.880 0.978

Calculated values
ΔE_f (raw) (eV/atom): -1.417
Space group: No. 14

# Zr6GaFe2

A geometry-optimized Zr6GaFe2 structure (PBE, Alexandria via LeMat-Bulk).

Cell lengths 7.757, 7.757, 7.757 Å; angles 102.83, 112.33, 113.46 degrees
Fractional coordinates of all 18 atoms:
Zr: 0.517 0.701 0.816
Zr: 0.483 0.299 0.184
Zr: 0.115 0.299 0.816
Zr: 0.885 0.701 0.184
Zr: 0.800 0.768 0.568
Zr: 0.200 0.232 0.432
Zr: 0.200 0.768 0.968
Zr: 0.800 0.232 0.032
Zr: 0.694 0.366 0.672
Zr: 0.306 0.634 0.328
Zr: 0.306 0.978 0.672
Zr: 0.694 0.022 0.328
Ga: 0.000 0.500 0.500
Ga: 0.000 0.000 0.000
Fe: 0.500 0.365 0.865
Fe: 0.500 0.635 0.135
Fe: 0.668 0.000 0.668
Fe: 0.332 0.000 0.332

Calculated values
Space group: No. 71
Formation energy from the elements (eV per atom): -0.1928

# MgFeOsW

A geometry-optimized MgFeOsW structure (PBE, Alexandria via LeMat-Bulk).

Cell lengths 4.311, 4.311, 4.311 Å; angles 60.00, 60.00, 60.00 degrees
Fractional coordinates of all 4 atoms:
Mg: 0.000 0.000 0.000
Os: 0.750 0.750 0.750
Fe: 0.250 0.250 0.250
W: 0.500 0.500 0.500

Calculated values
Space group: No. 216
Formation energy from the elements (eV per atom): 0.0530

# RbNbCd

A geometry-optimized RbNbCd structure (PBE, Alexandria via LeMat-Bulk).

Cell lengths 5.728, 5.728, 2.922 Å; angles 90.00, 90.00, 120.00 degrees
Last column: magnetic moment on the atom in μB.
Fractional coordinates of all 3 atoms:
Nb: 0.333 0.667 0.000  0.90
Rb: 0.667 0.333 0.500  0.03
Cd: 0.000 0.000 0.000  -0.01

Calculated values
Energy relative to the lowest polymorph listed for this composition (eV per formula unit): 2.59
Space group: No. 187
Formation energy from the elements (eV per atom): 1.1700

# PmBiAs2

A geometry-optimized PmBiAs2 structure (PBE, Alexandria via LeMat-Bulk).

Cell lengths 4.399, 4.399, 8.738 Å; angles 75.42, 75.42, 60.00 degrees
Fractional coordinates of all 4 atoms:
As: 0.108 0.108 0.677
As: 0.892 0.892 0.323
Bi: 0.000 0.000 0.000
Pm: 0.500 0.500 0.500

Calculated values
Energy relative to the lowest polymorph listed for this composition (eV per formula unit): 1.59
Space group: No. 166
Formation energy from the elements (eV per atom): -0.1550

# PmNdErTm2

A geometry-optimized PmNdErTm2 structure (PBE, Alexandria via LeMat-Bulk).

Cell lengths 7.155, 8.377, 7.097 Å; angles 126.17, 90.00, 90.00 degrees
Fractional coordinates of all 10 atoms:
Pm: 0.250 0.002 0.003
Pm: 0.750 0.998 0.997
Nd: 0.250 0.729 0.459
Nd: 0.750 0.271 0.541
Er: 0.750 0.718 0.437
Er: 0.250 0.282 0.563
Tm: 0.500 0.313 0.000
Tm: 0.000 0.687 0.000
Tm: 0.500 0.687 0.000
Tm: 0.000 0.313 0.000

Calculated values
Space group: No. 63
Formation energy from the elements (eV per atom): 0.3847

Number 1: total DFT energy (no corrections) -104.7 eV/f.u.. Number 2: total DFT energy (no corrections) -69.3 eV/f.u.. Number 3: total DFT energy (no corrections) -70.5 eV/f.u.. Number 4: total DFT energy (no corrections) -73.0 eV/f.u.. Number 5: total DFT energy (no corrections) -34.0 eV/f.u.. Number 6: total DFT energy (no corrections) -8.4 eV/f.u.. Number 7: total DFT energy (no corrections) -18.6 eV/f.u.. Number 8: total DFT energy (no corrections) -21.1 eV/f.u..